No. 1
# Pa3Fe5H12 | Alexandria via LeMat-Bulk | PBE-GGA | relaxed
# VASP energy = -5.620 eV per atom
# size of the total moment = 8.7 μB/f.u.
# ρ = 8.97 Mg/m³
data_Pa3Fe5H12
_chemical_formula_sum 'Pa24 Fe40 H96'
_cell_length_a 11.339
_cell_length_b 11.339
_cell_length_c 11.339
_cell_angle_alpha 90.00
_cell_angle_beta 90.00
_cell_angle_gamma 90.00
_space_group_name_H-M_alt 'I a -3 d'
_space_group_IT_number 230
_space_group_name_Hall '-I 4bd 2c 3'
loop_
_atom_site_label
_atom_site_fract_x
_atom_site_fract_y
_atom_site_fract_z
Pa1 0.000 0.250 0.125
Fe1 0.000 0.000 0.000
Fe2 0.000 0.250 0.375
H1 0.035 0.053 0.641

=====

No. 2
# SnSbTe2N | Alexandria via LeMat-Bulk | PBE-GGA | relaxed
# excess energy over the best structure of this formula in the dataset = 183 meV/atom
# size of the total moment = 0.1 μB/f.u.
# formation energy without anion corrections = 0.740 eV/atom
# ρ = 6.23 Mg/m³
data_SnSbTe2N
_chemical_formula_sum 'Sn1 Sb1 Te2 N1'
_cell_length_a 5.877
_cell_length_b 5.877
_cell_length_c 3.933
_cell_angle_alpha 90.00
_cell_angle_beta 90.00
_cell_angle_gamma 90.00
_space_group_name_H-M_alt 'P 4/m m m'
_space_group_IT_number 123
_space_group_name_Hall '-P 4 2'
loop_
_atom_site_label
_atom_site_fract_x
_atom_site_fract_y
_atom_site_fract_z
Sn1 0.000 0.000 0.000
Sb1 0.500 0.500 0.500
Te1 0.000 0.500 0.000
N1 0.000 0.000 0.500

=====

No. 3
# Y2Mg2Sc | Alexandria via LeMat-Bulk | PBE-GGA | relaxed
# excess energy over the best structure of this formula in the dataset = 243 meV/atom
# size of the total moment = 0.0 μB/f.u.
# energy of formation from the pure elements = 0.28 eV/atom
# ρ = 3.04 Mg/m³
data_Y2Mg2Sc
_chemical_formula_sum 'Y4 Mg4 Sc2'
_cell_length_a 4.005
_cell_length_b 4.005
_cell_length_c 18.501
_cell_angle_alpha 90.00
_cell_angle_beta 90.00
_cell_angle_gamma 90.00
_space_group_name_H-M_alt 'I 4/m m m'
_space_group_IT_number 139
_space_group_name_Hall '-I 4 2'
loop_
_atom_site_label
_atom_site_fract_x
_atom_site_fract_y
_atom_site_fract_z
Y1 0.000 0.000 0.097
Mg1 0.000 0.500 0.250
Sc1 0.000 0.000 0.500

=====

No. 4
# HgPtSe2 | Alexandria via LeMat-Bulk | PBE-GGA | relaxed
# excess energy over the best structure of this formula in the dataset = 62 meV/atom
# size of the total moment = 0.0 μB/f.u.
# formation energy without anion corrections = -0.231 eV/atom
# ρ = 9.50 Mg/m³
data_HgPtSe2
_chemical_formula_sum 'Hg1 Pt1 Se2'
_cell_length_a 4.860
_cell_length_b 3.725
_cell_length_c 5.724
_cell_angle_alpha 90.00
_cell_angle_beta 110.94
_cell_angle_gamma 90.00
_space_group_name_H-M_alt 'P 1 2/m 1'
_space_group_IT_number 10
loop_
_space_group_symop_operation_xyz
'x,y,z'
'-x,-y,-z'
'-x,y,-z'
'x,-y,z'
loop_
_atom_site_label
_atom_site_fract_x
_atom_site_fract_y
_atom_site_fract_z
Hg1 0.000 0.000 0.000
Pt1 0.000 0.000 0.500
Se1 0.362 0.500 0.649

=====

No. 5
# Pr7HgPb4 | Alexandria via LeMat-Bulk | PBE-GGA | relaxed
# size of the total moment = 0.7 μB/f.u.
# energy of formation from the pure elements = -0.29 eV/atom
# ρ = 7.97 Mg/m³
data_Pr7HgPb4
_chemical_formula_sum 'Pr14 Hg2 Pb8'
_cell_length_a 15.362
_cell_length_b 5.869
_cell_length_c 11.543
_cell_angle_alpha 90.00
_cell_angle_beta 126.21
_cell_angle_gamma 90.00
_space_group_name_H-M_alt 'C 1 2/m 1'
_space_group_IT_number 12
loop_
_space_group_symop_operation_xyz
'x,y,z'
'-x,-y,-z'
'-x,y,-z'
'x,-y,z'
'x+1/2,y+1/2,z'
'-x+1/2,-y+1/2,-z'
'-x+1/2,y+1/2,-z'
'x+1/2,-y+1/2,z'
loop_
_atom_site_label
_atom_site_fract_x
_atom_site_fract_y
_atom_site_fract_z
Pr1 0.000 0.000 0.000
Pr2 0.082 0.500 0.322
Pr3 0.149 0.000 0.570
Pr4 0.202 0.500 0.868
Hg1 0.000 0.500 0.000
Pb1 0.078 0.000 0.783
Pb2 0.217 0.000 0.334

=====

No. 6
# TbInCu10 | Alexandria via LeMat-Bulk | PBE-GGA | relaxed
# size of the total moment = 0.0 μB/f.u.
# energy of formation from the pure elements = -0.07 eV/atom
# ρ = 8.54 Mg/m³
data_TbInCu10
_chemical_formula_sum 'Tb1 In1 Cu10'
_cell_length_a 4.103
_cell_length_b 4.981
_cell_length_c 8.649
_cell_angle_alpha 90.00
_cell_angle_beta 90.00
_cell_angle_gamma 90.00
_space_group_name_H-M_alt 'P m m m'
_space_group_IT_number 47
loop_
_space_group_symop_operation_xyz
'x,y,z'
'-x,-y,-z'
'-x,-y,z'
'x,y,-z'
'x,-y,-z'
'-x,y,z'
'-x,y,-z'
'x,-y,z'
loop_
_atom_site_label
_atom_site_fract_x
_atom_site_fract_y
_atom_site_fract_z
Tb1 0.000 0.000 0.000
In1 0.000 0.500 0.500
Cu1 0.000 0.000 0.342
Cu2 0.000 0.500 0.176
Cu3 0.500 0.000 0.500
Cu4 0.500 0.247 0.248
Cu5 0.500 0.500 0.000